[1]
Entry from Alexandria: crystalline Nd3Al8Ag at its relaxed geometry (PBE-GGA). Values from VASP.

Calculated values
The calculation puts the final energy at -4.265 eV per atom. Its space group is R3m.

Geometry as Quantum ESPRESSO input:
```
&SYSTEM
  ibrav = 0, nat = 12, ntyp = 3
/
ATOMIC_SPECIES
Al 26.98 Al.upf
Nd 144.24 Nd.upf
Ag 107.87 Ag.upf
ATOMIC_POSITIONS crystal
Al 0.942 0.439 0.181
Al 0.436 0.940 0.684
Al 0.439 0.942 0.181
Al 0.689 0.689 0.933
Al 0.940 0.940 0.684
Al 0.439 0.439 0.181
Al 0.940 0.436 0.684
Al 0.189 0.189 0.432
Nd 0.505 0.505 0.486
Nd 0.993 0.993 0.020
Nd 0.375 0.375 0.874
Ag 0.863 0.863 0.410
CELL_PARAMETERS angstrom
-1.997 4.222 3.165
-3.579 -1.090 4.223
5.185 0.086 8.185
```

[2]
Entry from Alexandria: crystalline NdAl4Ag at its relaxed geometry (PBE-GGA). Values from VASP.

Calculated values
As for the distance to the lowest polymorph of the same formula: 0 meV per atom. Its space group is C2/m.

Geometry as Quantum ESPRESSO input:
```
&SYSTEM
  ibrav = 0, nat = 12, ntyp = 3
/
ATOMIC_SPECIES
Al 26.98 Al.upf
Nd 144.24 Nd.upf
Ag 107.87 Ag.upf
ATOMIC_POSITIONS crystal
Al 0.160 0.746 0.160
Al 0.285 0.000 0.715
Al 0.715 0.000 0.285
Al 0.807 0.560 0.421
Al 0.421 0.560 0.807
Al 0.193 0.440 0.579
Al 0.579 0.440 0.193
Al 0.840 0.254 0.840
Nd 0.840 0.778 0.840
Nd 0.160 0.222 0.160
Ag 0.608 0.207 0.608
Ag 0.392 0.793 0.392
CELL_PARAMETERS angstrom
5.889 0.240 2.051
1.342 6.831 1.798
0.292 0.240 6.229
```